Below is an optimized crystal structure of ZnFeCo, with properties calculated at the GGA-PBEsol level.

ΔE to the lowest computed polymorph = 12.06 kcal/mol of atoms

Lattice parameters (Å, degrees): 3.8505 3.8505 3.8505 60.00 60.00 60.00
With the nearest neighbours (Å) after each atom.
Atoms (fractional coordinates):
Co  0.5000  0.5000  0.5000  4 Fe 2.36
Fe  0.2500  0.2500  0.2500  4 Co 2.36, 4 Zn 2.36
Zn  0.0000  0.0000  0.0000  4 Fe 2.36

=====

Below is an optimized crystal structure of BaTe2RuN, with properties calculated at the GGA-PBEsol level.

Total energy = -5.95 eV per atom

Lattice parameters (Å, degrees): 3.7047 5.7145 5.7145 90.00 90.00 90.00
With the nearest neighbours (Å) after each atom.
Atoms (fractional coordinates):
N  0.5000  0.0000  0.0000  2 Ru 1.85
Te  0.0000  0.0000  0.5000  2 Ru 2.86
Te  0.0000  0.5000  0.0000  2 Ru 2.86
Ru  0.0000  0.0000  0.0000  2 N 1.85
Ba  0.5000  0.5000  0.5000  8 Te 3.41, 2 Ba 3.70

=====

Listing density of states at the Fermi level for the structures above in their given order: 3.30, 2.78 states/eV/f.u..